# 1
DyY3Zr | PBE-GGA | relaxed

```
DyY3Zr
1.0
9.074 -1.736 0.000
9.074 1.736 0.000
-2.731 0.000 9.489
Dy Y Zr
2 6 2
Direct
0.104 0.104 0.061
0.896 0.896 0.939
0.106 0.106 0.543
0.296 0.296 0.159
0.498 0.498 0.753
0.502 0.502 0.247
0.704 0.704 0.841
0.894 0.894 0.457
0.295 0.295 0.637
0.705 0.705 0.363
```

Calculated values
Energy of formation from the pure elements = 35 kJ/mol of formula units
SG = C2/m
Total energy = -64.36 eV per cell
DOS at the Fermi energy = 13.8 states/eV per cell

---

# 2
DyHgO | PBE-GGA | relaxed

```
DyHgO
1.0
3.269 -1.896 0.000
3.269 1.896 0.000
-2.255 0.000 9.756
Dy Hg O
2 2 2
Direct
0.116 0.116 0.353
0.884 0.884 0.647
0.368 0.368 0.109
0.632 0.632 0.891
0.198 0.198 0.590
0.802 0.802 0.410
```

Calculated values
SG = C2/m
Total energy = -32.23 eV per cell
E above lowest polymorph = 81 meV/atom
DOS at the Fermi energy = 2.6 states/eV per cell
Formation energy without anion corrections = -2.084 eV per atom

---

# 3
K3Ac2NpS6 | PBE-GGA | relaxed

```
K3Ac2NpS6
1.0
3.757 -6.507 0.000
3.757 6.507 0.000
-2.511 0.000 7.395
K Ac Np S
3 2 1 6
Direct
0.000 0.000 0.000
0.334 0.666 0.000
0.666 0.334 0.000
0.167 0.833 0.500
0.833 0.167 0.500
0.500 0.500 0.500
0.112 0.430 0.290
0.252 0.252 0.709
0.430 0.112 0.290
0.570 0.888 0.710
0.748 0.748 0.291
0.888 0.570 0.710
```

Calculated values
SG = C2/m
Total energy = -69.67 eV per cell
DOS at the Fermi energy = 5.7 states/eV per cell
Formation energy without anion corrections = -1.705 eV per atom